No. 1
Pm3SmSb4 | PBE-GGA | relaxed

formation energy without anion corrections	-1.185	eV/atom
space group	Cmmm (65)
polymorph energy (0 for the lowest one)	0.04	eV/f.u.

Cell lengths 4.489, 7.771, 7.771 Å; angles 109.47, 90.00, 90.00 degrees
Atoms (fractional coordinates):
Sm (0.500, 0.000, 0.000)
Sb (0.500, 0.751, 0.249)
Sb (0.000, 0.751, 0.751)
Sb (0.500, 0.249, 0.751)
Sb (0.000, 0.249, 0.249)
Pm (0.000, 0.500, 0.000)
Pm (0.000, 0.000, 0.500)
Pm (0.500, 0.500, 0.500)

No. 2
ReAuC3 | PBE-GGA | relaxed

space group	Pm-3m (221)
polymorph energy (0 for the lowest one)	0.00	eV/f.u.

Cell lengths 4.064, 4.064, 4.064 Å; angles 90.00, 90.00, 90.00 degrees
Atoms (fractional coordinates):
Au (0.500, 0.500, 0.500)
C (0.000, 0.000, 0.500)
C (0.500, 0.000, 0.000)
C (0.000, 0.500, 0.000)
Re (0.000, 0.000, 0.000)

No. 3
KCdGe | PBE-GGA | relaxed

space group	R-3 (148)
polymorph energy (0 for the lowest one)	0.26	eV/f.u.

Cell lengths 8.259, 8.259, 8.259 Å; angles 93.51, 93.51, 93.51 degrees
Atoms (fractional coordinates):
Ge (0.540, 0.379, 0.896)
Ge (0.379, 0.896, 0.540)
Ge (0.621, 0.104, 0.460)
Ge (0.460, 0.621, 0.104)
Ge (0.896, 0.540, 0.379)
Ge (0.104, 0.460, 0.621)
Cd (0.752, 0.395, 0.648)
Cd (0.352, 0.248, 0.605)
Cd (0.395, 0.648, 0.752)
Cd (0.248, 0.605, 0.352)
Cd (0.648, 0.752, 0.395)
Cd (0.605, 0.352, 0.248)
K (0.860, 0.655, 0.019)
K (0.981, 0.140, 0.345)
K (0.019, 0.860, 0.655)
K (0.655, 0.019, 0.860)
K (0.140, 0.345, 0.981)
K (0.345, 0.981, 0.140)

No. 4
KHAu2 | PBE-GGA | relaxed

space group	Fm-3m (225)
polymorph energy (0 for the lowest one)	3.27	eV/f.u.

Cell lengths 4.946, 4.946, 4.946 Å; angles 60.00, 60.00, 60.00 degrees
Atoms (fractional coordinates):
Au (0.750, 0.750, 0.750)
Au (0.250, 0.250, 0.250)
K (0.500, 0.500, 0.500)
H (0.000, 0.000, 0.000)

No. 5
Mg2PRh | PBE-GGA | relaxed

space group	Cmmm (65)

Cell lengths 4.632, 4.632, 3.040 Å; angles 90.00, 90.00, 106.96 degrees
Atoms (fractional coordinates):
Mg (0.500, 0.500, 0.000)
Mg (0.000, 0.000, 0.000)
Rh (0.000, 0.500, 0.500)
P (0.500, 0.000, 0.500)

No. 6
SrRu2W | PBE-GGA | relaxed

space group	Pm (6)
polymorph energy (0 for the lowest one)	1.44	eV/f.u.

Cell lengths 4.362, 3.168, 6.186 Å; angles 79.77, 90.00, 90.00 degrees
Atoms (fractional coordinates):
Ru (0.000, 0.139, 0.938)
Ru (0.500, 0.112, 0.205)
Sr (0.000, 0.530, 0.458)
W (0.500, 0.720, 0.900)

No. 7
HfSi2Sb | PBE-GGA | relaxed

formation energy without anion corrections	0.466	eV/atom
space group	I-42d (122)

Cell lengths 6.188, 6.188, 7.397 Å; angles 65.28, 65.28, 90.00 degrees
Atoms (fractional coordinates):
Si (0.875, 0.877, 0.750)
Si (0.627, 0.125, 0.250)
Si (0.375, 0.373, 0.750)
Si (0.123, 0.625, 0.250)
Hf (0.000, 0.000, 0.000)
Hf (0.750, 0.250, 0.500)
Sb (0.500, 0.500, 0.000)
Sb (0.250, 0.750, 0.500)

No. 8
TbCe3Th2As6 | PBE-GGA | relaxed

space group	C2/m (12)

Cell lengths 7.309, 7.309, 7.325 Å; angles 99.58, 99.58, 119.99 degrees
Atoms (fractional coordinates):
As (0.753, 0.753, 0.250)
As (0.587, 0.917, 0.751)
As (0.083, 0.413, 0.249)
As (0.247, 0.247, 0.750)
As (0.917, 0.587, 0.751)
As (0.413, 0.083, 0.249)
Th (0.666, 0.334, 0.000)
Th (0.334, 0.666, 0.000)
Tb (0.000, 0.000, 0.000)
Ce (0.500, 0.500, 0.500)
Ce (0.833, 0.167, 0.500)
Ce (0.167, 0.833, 0.500)

No. 9
AcSmSbO5 | PBE-GGA | relaxed

formation energy without anion corrections	-2.509	eV/atom
space group	C2/c (15)

Cell lengths 6.359, 6.359, 8.377 Å; angles 106.86, 106.86, 102.90 degrees
Atoms (fractional coordinates):
O (0.269, 0.375, 0.595)
O (0.344, 0.887, 0.592)
O (0.656, 0.113, 0.408)
O (0.085, 0.915, 0.250)
O (0.887, 0.344, 0.092)
O (0.375, 0.269, 0.095)
O (0.731, 0.625, 0.405)
O (0.625, 0.731, 0.905)
O (0.113, 0.656, 0.908)
O (0.915, 0.085, 0.750)
Sb (0.311, 0.689, 0.750)
Sb (0.689, 0.311, 0.250)
Ac (0.317, 0.683, 0.250)
Ac (0.683, 0.317, 0.750)
Sm (0.000, 0.000, 0.500)
Sm (0.000, 0.000, 0.000)

No. 10
PmZrSn | PBE-GGA | relaxed

space group	P4/nmm (129)
polymorph energy (0 for the lowest one)	1.58	eV/f.u.

Cell lengths 4.740, 4.740, 7.508 Å; angles 90.00, 90.00, 90.00 degrees
Atoms (fractional coordinates):
Pm (0.500, 0.000, 0.292)
Pm (0.000, 0.500, 0.708)
Zr (0.000, 0.500, 0.260)
Zr (0.500, 0.000, 0.740)
Sn (0.000, 0.000, 0.000)
Sn (0.500, 0.500, 0.000)

No. 11
In3NiSb | PBE-GGA | relaxed

formation energy without anion corrections	1.019	eV/atom
space group	Pm-3m (221)
polymorph energy (0 for the lowest one)	4.71	eV/f.u.

Cell lengths 5.705, 5.705, 5.705 Å; angles 90.00, 90.00, 90.00 degrees
Atoms (fractional coordinates):
In (0.000, 0.500, 0.000)
In (0.000, 0.000, 0.500)
In (0.500, 0.000, 0.000)
Ni (0.500, 0.500, 0.500)
Sb (0.000, 0.000, 0.000)

No. 12
V2TcC | PBE-GGA | relaxed

space group	P4/mmm (123)

Cell lengths 2.929, 2.929, 5.330 Å; angles 90.00, 90.00, 90.00 degrees
Atoms (fractional coordinates):
Tc (0.500, 0.500, 0.500)
V (0.000, 0.000, 0.205)
V (0.000, 0.000, 0.795)
C (0.500, 0.500, 0.000)

No. 13
La2Pm2Tc | PBE-GGA | relaxed

space group	I4_1/amd (141)

Cell lengths 4.983, 4.983, 13.449 Å; angles 100.68, 100.68, 90.00 degrees
Atoms (fractional coordinates):
La (0.309, 0.309, 0.617)
La (0.941, 0.441, 0.883)
La (0.559, 0.059, 0.117)
La (0.691, 0.691, 0.383)
Tc (0.750, 0.250, 0.500)
Tc (0.500, 0.500, 0.000)
Pm (0.072, 0.572, 0.144)
Pm (0.428, 0.928, 0.856)
Pm (0.178, 0.178, 0.356)
Pm (0.822, 0.822, 0.644)

No. 14
Ac2DyAgTe5 | PBE-GGA | relaxed

formation energy without anion corrections	-1.310	eV/atom
space group	Cmc2_1 (36)

Cell lengths 4.545, 10.009, 13.541 Å; angles 90.00, 90.00, 103.12 degrees
Atoms (fractional coordinates):
Te (0.288, 0.575, 0.665)
Te (0.499, 0.998, 0.777)
Te (0.354, 0.707, 0.001)
Te (0.045, 0.090, 0.069)
Te (0.695, 0.391, 0.848)
Te (0.501, 0.002, 0.277)
Te (0.646, 0.293, 0.501)
Te (0.955, 0.910, 0.569)
Te (0.305, 0.609, 0.348)
Te (0.712, 0.425, 0.165)
Ac (0.125, 0.250, 0.308)
Ac (0.888, 0.777, 0.188)
Ac (0.875, 0.750, 0.808)
Ac (0.112, 0.223, 0.688)
Ag (0.569, 0.137, 0.957)
Ag (0.431, 0.863, 0.457)
Dy (0.192, 0.384, 0.010)
Dy (0.808, 0.616, 0.510)

No. 15
Sr2PmBr | PBE-GGA | relaxed

formation energy without anion corrections	-0.595	eV/atom
space group	P4/mmm (123)
polymorph energy (0 for the lowest one)	0.00	eV/f.u.

Cell lengths 3.835, 3.835, 10.413 Å; angles 90.00, 90.00, 90.00 degrees
Atoms (fractional coordinates):
Br (0.500, 0.500, 0.000)
Sr (0.000, 0.000, 0.776)
Sr (0.000, 0.000, 0.224)
Pm (0.500, 0.500, 0.500)

No. 16
RePd2Rh2 | PBE-GGA | relaxed

space group	I4/mmm (139)

Cell lengths 2.741, 2.741, 10.035 Å; angles 97.85, 97.85, 90.00 degrees
Atoms (fractional coordinates):
Pd (0.802, 0.802, 0.604)
Pd (0.198, 0.198, 0.396)
Rh (0.594, 0.594, 0.187)
Rh (0.406, 0.406, 0.813)
Re (0.000, 0.000, 0.000)

No. 17
NaSr5Pb6 | PBE-GGA | relaxed

space group	C2/m (12)

Cell lengths 5.273, 9.616, 9.616 Å; angles 109.09, 106.27, 106.27 degrees
Atoms (fractional coordinates):
Pb (0.732, 0.584, 0.918)
Pb (0.268, 0.416, 0.082)
Pb (0.268, 0.082, 0.416)
Pb (0.719, 0.250, 0.250)
Pb (0.281, 0.750, 0.750)
Pb (0.732, 0.918, 0.584)
Na (0.000, 0.000, 0.000)
Sr (0.000, 0.669, 0.331)
Sr (0.500, 0.500, 0.500)
Sr (0.500, 0.842, 0.158)
Sr (0.000, 0.331, 0.669)
Sr (0.500, 0.158, 0.842)

No. 18
SmYBeCu | PBE-GGA | relaxed

space group	F-43m (216)

Cell lengths 4.938, 4.938, 4.938 Å; angles 60.00, 60.00, 60.00 degrees
Atoms (fractional coordinates):
Cu (0.750, 0.750, 0.750)
Sm (0.500, 0.500, 0.500)
Y (0.000, 0.000, 0.000)
Be (0.250, 0.250, 0.250)

No. 19
Be2Bi | PBE-GGA | relaxed

space group	C2/m (12)
polymorph energy (0 for the lowest one)	0.00	eV/f.u.

Cell lengths 9.466, 3.595, 6.172 Å; angles 90.00, 103.54, 90.00 degrees
Atoms (fractional coordinates):
Be (0.018, 0.000, 0.673)
Be (0.018, 0.500, 0.173)
Be (0.894, 0.000, 0.961)
Be (0.894, 0.500, 0.461)
Be (0.106, 0.000, 0.039)
Be (0.982, 0.000, 0.327)
Be (0.982, 0.500, 0.827)
Be (0.106, 0.500, 0.539)
Bi (0.687, 0.000, 0.228)
Bi (0.687, 0.500, 0.728)
Bi (0.313, 0.500, 0.272)
Bi (0.313, 0.000, 0.772)

No. 20
TlCl3 | PBE-GGA | relaxed

formation energy without anion corrections	-0.504	eV/atom
space group	C2/m (12)

Cell lengths 5.316, 5.316, 5.919 Å; angles 91.50, 91.50, 56.07 degrees
Atoms (fractional coordinates):
Cl (0.500, 0.500, 0.500)
Cl (0.674, 0.674, 0.784)
Cl (0.326, 0.326, 0.216)
Tl (0.000, 0.000, 0.000)

| no. | total magnetic moment (Bohr magnetons per cell) | final energy (eV/atom) |
| --- | --- | --- |
| 1 | 0.0 | -5.6175 |
| 2 | 0.0 | -6.7355 |
| 3 | 0.5 | -2.1956 |
| 4 | 0.0 | -1.9674 |
| 5 | 0.0 | -4.3434 |
| 6 | 0.0 | -7.6589 |
| 7 | 0.0 | -5.7647 |
| 8 | 2.4 | -6.8797 |
| 9 | 1.6 | -7.2264 |
| 10 | 0.0 | -5.8097 |
| 11 | 0.0 | -2.6046 |
| 12 | 0.0 | -9.2660 |
| 13 | 0.0 | -5.8288 |
| 14 | 0.0 | -4.7967 |
| 15 | 0.0 | -3.0422 |
| 16 | 0.0 | -7.5987 |
| 17 | 0.0 | -3.1202 |
| 18 | 0.0 | -4.7802 |
| 19 | 0.0 | -3.5805 |
| 20 | 0.0 | -2.4807 |